[1]
# SbH2Pd7Pb2

Crystalline SbH2Pd7Pb2 at its relaxed geometry (PBE, Alexandria).

a b c (Å): 5.7371 5.7487 11.8052
angles (deg): 90.00 104.06 90.00
Closest atoms and distances in Å follow each position.
Space group C2/m (No. 12)
Inequivalent atoms, fractional coordinates:
1 Sb 0.0000 0.0000 0.0000 x2  12 Pd 2.86-2.87
2 H 0.0902 0.5000 0.1813 x4  6 Pd 1.97-2.08
3 Pd 0.0000 0.5000 0.0000 x2  2 H 2.08
4 Pd 0.1600 0.2500 0.8232 x8  2 H 2.02-2.04
5 Pd 0.1784 0.5000 0.3534 x4  1 H 1.97
6 Pb 0.1999 0.0000 0.3966 x4  5 Pd 2.86-2.92

Fermi-level density of states   9.14 states/eV/cell
Total energy   -4.79 eV/atom



[2]
# SbHPdPb2

Crystalline SbHPdPb2 at its relaxed geometry (PBE, Alexandria).

a b c (Å): 5.7550 5.7550 3.4249
angles (deg): 90.00 90.00 90.00
Closest atoms and distances in Å follow each position.
Space group P4/mmm (No. 123)
Inequivalent atoms, fractional coordinates:
1 Sb 0.0000 0.0000 0.0000 x1  8 Pb 3.35, 2 Sb 3.42
2 H 0.5000 0.5000 0.0000 x1  2 Pd 1.71
3 Pd 0.5000 0.5000 0.5000 x1  2 H 1.71
4 Pb 0.0000 0.5000 0.5000 x2  2 Pd 2.88

Fermi-level density of states   3.20 states/eV/cell
Total energy   -4.01 eV/atom



[3]
# ScH2Pd7Pb2

Crystalline ScH2Pd7Pb2 at its relaxed geometry (PBE, Alexandria).

a b c (Å): 5.7083 5.7110 11.7657
angles (deg): 90.00 103.90 90.00
Closest atoms and distances in Å follow each position.
Space group C2/m (No. 12)
Inequivalent atoms, fractional coordinates:
1 Sc 0.0000 0.0000 0.0000 x2  12 Pd 2.84-2.86
2 H 0.0836 0.5000 0.1714 x4  6 Pd 1.96-2.08
3 Pd 0.0000 0.5000 0.0000 x2  2 H 1.96
4 Pd 0.1630 0.2500 0.8245 x8  2 H 2.01-2.03
5 Pd 0.1750 0.5000 0.3532 x4  1 H 2.08
6 Pb 0.1958 0.0000 0.3948 x4  9 Pd 2.88-3.22

Fermi-level density of states   11.28 states/eV/cell
Total energy   -5.15 eV/atom



[4]
# HPd6Pb2Se

Crystalline HPd6Pb2Se at its relaxed geometry (PBE, Alexandria).

a b c (Å): 5.7433 5.7507 6.7964
angles (deg): 66.34 66.74 60.62
Closest atoms and distances in Å follow each position.
Space group P-1 (No. 2)
Inequivalent atoms, fractional coordinates:
1 H 0.0000 0.0000 0.0000 x1  6 Pd 1.98-2.06
2 Pd 0.1838 0.6845 0.8478 x2  1 H 2.06
3 Pd 0.2053 0.2107 0.7511 x2  1 H 1.98
4 Pd 0.3173 0.8165 0.1502 x2  1 H 2.05
5 Pb 0.2660 0.2622 0.2812 x2  9 Pd 2.89-3.08
6 Se 0.5000 0.5000 0.5000 x1  6 Pd 2.59-2.60

Fermi-level density of states   5.15 states/eV/cell
Total energy   -4.73 eV/atom



[5]
# Sn2HPdPb

Crystalline Sn2HPdPb at its relaxed geometry (PBE, Alexandria).

a b c (Å): 5.5834 5.5834 3.4337
angles (deg): 90.00 90.00 90.00
Closest atoms and distances in Å follow each position.
Space group P4/mmm (No. 123)
Inequivalent atoms, fractional coordinates:
1 Sn 0.0000 0.5000 0.0000 x2  2 Pd 2.79
2 H 0.0000 0.0000 0.5000 x1  2 Pd 1.72
3 Pd 0.0000 0.0000 0.0000 x1  2 H 1.72
4 Pb 0.5000 0.5000 0.5000 x1  8 Sn 3.28, 2 Pb 3.43

Fermi-level density of states   2.24 states/eV/cell
Total energy   -4.06 eV/atom



[6]
# Sn2H2Pd7Pb

Crystalline Sn2H2Pd7Pb at its relaxed geometry (PBE, Alexandria).

a b c (Å): 5.7705 5.7877 11.0426
angles (deg): 90.00 99.53 90.00
Closest atoms and distances in Å follow each position.
Space group C2/m (No. 12)
Inequivalent atoms, fractional coordinates:
1 Sn 0.1270 0.0000 0.3809 x4  9 Pd 2.66-2.90
2 H 0.0248 0.5000 0.1776 x4  3 Pd 1.93-1.94
3 Pd 0.0000 0.5000 0.0000 x2  2 H 1.94
4 Pd 0.1294 0.5000 0.3923 x4  1 H 2.35
5 Pd 0.1836 0.2487 0.8004 x8  1 H 1.93
6 Pb 0.0000 0.0000 0.0000 x2  12 Pd 2.89-3.00

Fermi-level density of states   9.14 states/eV/cell
Total energy   -4.88 eV/atom



[7]
# SnHPd6Pb2

Crystalline SnHPd6Pb2 at its relaxed geometry (PBE, Alexandria).

a b c (Å): 5.6681 5.6995 6.9448
angles (deg): 67.72 68.45 60.60
Closest atoms and distances in Å follow each position.
Space group P-1 (No. 2)
Inequivalent atoms, fractional coordinates:
1 Sn 0.0000 0.0000 0.0000 x1  6 Pd 2.66-2.70
2 H 0.5000 0.5000 0.5000 x1  6 Pd 2.02-2.06
3 Pd 0.1755 0.6749 0.3607 x2  1 H 2.02
4 Pd 0.2995 0.2937 0.7594 x2  1 H 2.03
5 Pd 0.3185 0.8267 0.6399 x2  1 H 2.06
6 Pb 0.2369 0.2402 0.2159 x2  9 Pd 2.84-3.15

Fermi-level density of states   3.55 states/eV/cell
Total energy   -4.83 eV/atom



[8]
# Te2HPdPb

Crystalline Te2HPdPb at its relaxed geometry (PBE, Alexandria).

a b c (Å): 4.8972 4.8972 4.5051
angles (deg): 90.00 90.00 90.00
Closest atoms and distances in Å follow each position.
Space group P4/mmm (No. 123)
Inequivalent atoms, fractional coordinates:
1 Te 0.0000 0.5000 0.0000 x2  2 H 2.45
2 H 0.0000 0.0000 0.0000 x1  2 Pb 2.25, 4 Te 2.45
3 Pd 0.5000 0.5000 0.5000 x1  8 Te 3.33, 4 Pb 3.46
4 Pb 0.0000 0.0000 0.5000 x1  2 H 2.25

Fermi-level density of states   2.88 states/eV/cell
Total energy   -3.31 eV/atom



[9]
# TeH2Pd7Pb2

Crystalline TeH2Pd7Pb2 at its relaxed geometry (PBE, Alexandria).

a b c (Å): 5.7716 5.7887 11.7565
angles (deg): 90.00 104.20 90.00
Closest atoms and distances in Å follow each position.
Space group C2/m (No. 12)
Inequivalent atoms, fractional coordinates:
1 Te 0.0000 0.0000 0.0000 x2  12 Pd 2.89-2.95
2 H 0.0959 0.5000 0.1828 x4  6 Pd 2.00-2.08
3 Pd 0.0000 0.5000 0.0000 x2  2 H 2.08
4 Pd 0.1625 0.2499 0.8149 x8  2 H 2.00-2.08
5 Pd 0.1747 0.5000 0.3601 x4  1 H 2.02
6 Pb 0.1909 0.0000 0.3918 x4  9 Pd 2.83-3.12

Fermi-level density of states   14.94 states/eV/cell
Total energy   -4.65 eV/atom



[10]
# Te2H2Pd7Pb

Crystalline Te2H2Pd7Pb at its relaxed geometry (PBE, Alexandria).

a b c (Å): 5.7828 5.8009 11.5973
angles (deg): 90.00 104.39 90.00
Closest atoms and distances in Å follow each position.
Space group C2/m (No. 12)
Inequivalent atoms, fractional coordinates:
1 Te 0.1921 0.0000 0.3875 x4  9 Pd 2.73-3.04
2 H 0.0881 0.5000 0.1755 x4  6 Pd 1.97-2.18
3 Pd 0.0000 0.5000 0.0000 x2  2 H 1.97
4 Pd 0.1579 0.2499 0.8124 x8  2 H 2.04-2.06
5 Pd 0.1809 0.5000 0.3694 x4  1 H 2.18
6 Pb 0.0000 0.0000 0.0000 x2  12 Pd 2.89-2.94

Fermi-level density of states   10.21 states/eV/cell
Total energy   -4.64 eV/atom



[11]
# Te2HPdPb

Crystalline Te2HPdPb at its relaxed geometry (PBE, Alexandria).

a b c (Å): 5.6394 5.6394 3.5147
angles (deg): 90.00 90.00 90.00
Closest atoms and distances in Å follow each position.
Space group P4/mmm (No. 123)
Inequivalent atoms, fractional coordinates:
1 Te 0.0000 0.5000 0.0000 x2  2 Pd 2.82
2 H 0.0000 0.0000 0.5000 x1  2 Pd 1.76
3 Pd 0.0000 0.0000 0.0000 x1  2 H 1.76
4 Pb 0.5000 0.5000 0.5000 x1  8 Te 3.32, 2 Pb 3.51

Fermi-level density of states   2.25 states/eV/cell
Total energy   -3.80 eV/atom



[12]
# Tl3H2Pd9Pb

Crystalline Tl3H2Pd9Pb at its relaxed geometry (PBE, Alexandria).

a b c (Å): 5.7328 5.7328 9.1868
angles (deg): 90.00 90.00 120.00
Closest atoms and distances in Å follow each position.
Space group P-3m1 (No. 164)
Inequivalent atoms, fractional coordinates:
1 Tl 0.0000 0.0000 0.0000 x1  12 Pd 2.87-2.92
2 Tl 0.3333 0.6667 0.7126 x2  9 Pd 2.88-3.12
3 H 0.3333 0.6667 0.1196 x2  6 Pd 1.99-2.09
4 Pd 0.0000 0.5000 0.0000 x3  2 H 1.99
5 Pd 0.1685 0.3370 0.2603 x6  1 H 2.09
6 Pb 0.0000 0.0000 0.5000 x1  6 Pd 2.77

Fermi-level density of states   3.71 states/eV/cell
Total energy   -4.45 eV/atom



[13]
# TlH2Pd7Pb2

Crystalline TlH2Pd7Pb2 at its relaxed geometry (PBE, Alexandria).

a b c (Å): 5.7761 5.7733 11.6827
angles (deg): 90.00 104.03 90.00
Closest atoms and distances in Å follow each position.
Space group C2/m (No. 12)
Inequivalent atoms, fractional coordinates:
1 Tl 0.0000 0.0000 0.0000 x2  12 Pd 2.89-2.93
2 H 0.0857 0.5000 0.1736 x4  6 Pd 1.97-2.11
3 Pd 0.0000 0.5000 0.0000 x2  2 H 1.97
4 Pd 0.1590 0.2498 0.8148 x8  2 H 2.04-2.05
5 Pd 0.1774 0.5000 0.3596 x4  1 H 2.11
6 Pb 0.1930 0.0000 0.3898 x4  9 Pd 2.84-3.09

Fermi-level density of states   9.54 states/eV/cell
Total energy   -4.62 eV/atom



[14]
# Tl2HPdPb

Crystalline Tl2HPdPb at its relaxed geometry (PBE, Alexandria).

a b c (Å): 5.7354 5.7354 3.4705
angles (deg): 90.00 90.00 90.00
Closest atoms and distances in Å follow each position.
Space group P4/mmm (No. 123)
Inequivalent atoms, fractional coordinates:
1 Tl 0.0000 0.5000 0.0000 x2  2 Pd 2.87
2 H 0.0000 0.0000 0.5000 x1  2 Pd 1.74
3 Pd 0.0000 0.0000 0.0000 x1  2 H 1.74
4 Pb 0.5000 0.5000 0.5000 x1  8 Tl 3.35, 2 Pb 3.47

Fermi-level density of states   1.95 states/eV/cell
Total energy   -3.34 eV/atom



[15]
# TlHPd2Pb

Crystalline TlHPd2Pb at its relaxed geometry (PBE, Alexandria).

a b c (Å): 5.1600 5.1600 6.1700
angles (deg): 90.00 90.00 90.00
Closest atoms and distances in Å follow each position.
Space group P4/mmm (No. 123)
Inequivalent atoms, fractional coordinates:
1 Tl 0.0000 0.0000 0.0000 x1  2 Pb 3.09
2 H 0.5000 0.5000 0.0000 x1  4 Tl 3.65, 8 Pd 4.02
3 Pd 0.0000 0.5000 0.5000 x2  2 Pb 2.58
4 Pb 0.0000 0.0000 0.5000 x1  4 Pd 2.58

Fermi-level density of states   3.97 states/eV/cell
Total energy   -2.93 eV/atom



[16]
# TlH2Pd9Pb3

Crystalline TlH2Pd9Pb3 at its relaxed geometry (PBE, Alexandria).

a b c (Å): 5.7280 5.7280 9.2712
angles (deg): 90.00 90.00 120.00
Closest atoms and distances in Å follow each position.
Space group P-3m1 (No. 164)
Inequivalent atoms, fractional coordinates:
1 Tl 0.0000 0.0000 0.0000 x1  6 Pd 2.79
2 H 0.3333 0.6667 0.6365 x2  6 Pd 1.99-2.08
3 Pd 0.0000 0.5000 0.5000 x3  2 H 2.08
4 Pd 0.1681 0.3362 0.7582 x6  1 H 1.99
5 Pb 0.0000 0.0000 0.5000 x1  12 Pd 2.86-2.92
6 Pb 0.3333 0.6667 0.2003 x2  9 Pd 2.89-3.23

Fermi-level density of states   4.86 states/eV/cell
Total energy   -4.64 eV/atom



[17]
# TlHPd3Pb

Crystalline TlHPd3Pb at its relaxed geometry (PBE, Alexandria).

a b c (Å): 15.2455 3.5449 8.9260
angles (deg): 90.00 119.53 90.00
Closest atoms and distances in Å follow each position.
Space group C2/m (No. 12)
Inequivalent atoms, fractional coordinates:
1 Tl 0.1361 0.0000 0.1154 x4  7 Pd 2.85-3.01, 2 H 3.18
2 H 0.0283 0.5000 0.7765 x4  3 Pd 1.82-1.87
3 Pd 0.0025 0.0000 0.2534 x4  2 H 1.82
4 Pd 0.1691 0.5000 0.8940 x4  1 H 1.87
5 Pd 0.1698 0.5000 0.3931 x4  1 H 2.63, 4 Pd 2.84-2.86, 3 Pb 2.87-2.94, 2 Tl 2.88
6 Pb 0.1404 0.0000 0.6174 x4  7 Pd 2.87-2.94

Fermi-level density of states   6.81 states/eV/cell
Total energy   -4.34 eV/atom



[18]
# Tl2H2Pd7Pb

Crystalline Tl2H2Pd7Pb at its relaxed geometry (PBE, Alexandria).

a b c (Å): 5.8006 5.7946 11.1389
angles (deg): 90.00 98.02 90.00
Closest atoms and distances in Å follow each position.
Space group C2/m (No. 12)
Inequivalent atoms, fractional coordinates:
1 Tl 0.1289 0.0000 0.3843 x4  9 Pd 2.82-2.99, 1 Tl 3.15
2 H 0.0381 0.5000 0.1869 x4  6 Pd 1.96-2.14
3 Pd 0.0000 0.5000 0.0000 x2  2 H 2.06
4 Pd 0.1184 0.5000 0.3803 x4  1 H 2.14
5 Pd 0.1869 0.2481 0.8089 x8  2 H 1.96-2.14
6 Pb 0.0000 0.0000 0.0000 x2  12 Pd 2.90-2.98

Fermi-level density of states   6.50 states/eV/cell
Total energy   -4.50 eV/atom



[19]
# VH2PdPb

Crystalline VH2PdPb at its relaxed geometry (PBE, Alexandria).

a b c (Å): 3.7765 3.7765 5.1947
angles (deg): 90.00 90.00 90.00
Closest atoms and distances in Å follow each position.
Space group P4/mmm (No. 123)
Inequivalent atoms, fractional coordinates:
1 V 0.0000 0.0000 0.0000 x1  2 Pd 2.60, 4 Pb 2.67
2 H 0.0000 0.5000 0.5000 x2  2 Pd 1.89
3 Pd 0.0000 0.0000 0.5000 x1  4 H 1.89
4 Pb 0.5000 0.5000 0.0000 x1  4 V 2.67

Fermi-level density of states   3.43 states/eV/cell
Total energy   -4.41 eV/atom



[20]
# ZnH2Pd9Pb3

Crystalline ZnH2Pd9Pb3 at its relaxed geometry (PBE, Alexandria).

a b c (Å): 5.6890 5.6890 8.6399
angles (deg): 90.00 90.00 120.00
Closest atoms and distances in Å follow each position.
Space group P-3m1 (No. 164)
Inequivalent atoms, fractional coordinates:
1 Zn 0.0000 0.0000 0.0000 x1  6 Pd 2.54
2 H 0.3333 0.6667 0.6126 x2  3 Pd 1.91
3 Pd 0.0000 0.5000 0.5000 x3  2 H 1.91
4 Pd 0.1696 0.3393 0.7790 x6  1 H 2.16
5 Pb 0.0000 0.0000 0.5000 x1  12 Pd 2.84-2.93
6 Pb 0.3333 0.6667 0.1257 x2  6 Pd 2.96

Fermi-level density of states   3.52 states/eV/cell
Total energy   -4.61 eV/atom



[21]
# PmHPb

Crystalline PmHPb at its relaxed geometry (PBE, Alexandria).

a b c (Å): 5.2567 3.9784 6.3743
angles (deg): 90.00 99.44 90.00
Closest atoms and distances in Å follow each position.
Space group P2_1/m (No. 11)
Inequivalent atoms, fractional coordinates:
1 Pm 0.1574 0.2500 0.3049 x2  3 H 2.25-2.27
2 H 0.1349 0.7500 0.4734 x2  3 Pm 2.25-2.27, 2 H 2.50
3 Pb 0.3706 0.2500 0.8316 x2  3 H 3.02-3.13, 2 Pb 3.08, 2 Pm 3.36-3.39

Fermi-level density of states   0.84 states/eV/cell
Total energy   -4.39 eV/atom



[22]
# Pm4HPb

Crystalline Pm4HPb at its relaxed geometry (PBE, Alexandria).

a b c (Å): 5.0526 8.8120 7.5848
angles (deg): 90.00 90.01 90.00
Closest atoms and distances in Å follow each position.
Space group P2_1/m (No. 11)
Inequivalent atoms, fractional coordinates:
1 Pm 0.2494 0.0550 0.2243 x4  1 H 2.34
2 Pm 0.2498 0.2500 0.7525 x2  1 H 2.42
3 Pm 0.2507 0.7500 0.5396 x2  2 H 2.53-2.54
4 H 0.2491 0.2500 0.4329 x2  5 Pm 2.34-2.54
5 Pb 0.2502 0.7500 0.9652 x2  9 Pm 3.23-3.38

Fermi-level density of states   13.89 states/eV/cell
Total energy   -4.59 eV/atom